An optimized crystal structure of TiCuSb3. Source: Alexandria, functional PBE-GGA.

The formation energy (no corrections) is 0.6470 eV/atom. Its size of the total moment is 0.00 μB/cell.

It has space group Pm-3m (No. 221), with a = 5.032 Å, b = 5.032 Å, c = 5.032 Å, α = 90.00°, β = 90.00° and γ = 90.00°. The asymmetric unit holds Ti at (0.000, 0.000, 0.000), Cu at (0.500, 0.500, 0.500) and Sb at (0.000, 0.500, 0.500).

=====

An optimized crystal structure of LiGa3Se. Source: Alexandria, functional PBE-GGA.

The formation energy (no corrections) is 0.1361 eV/atom. Its size of the total moment is 0.00 μB/cell.

It has space group Pm-3m (No. 221), with a = 4.728 Å, b = 4.728 Å, c = 4.728 Å, α = 90.00°, β = 90.00° and γ = 90.00°. The asymmetric unit holds Li at (0.000, 0.000, 0.000), Ga at (0.000, 0.000, 0.500) and Se at (0.500, 0.500, 0.500).

=====

An optimized crystal structure of MnBPRu2. Source: Alexandria, functional PBE-GGA.

As for the energy of formation: 0.236 eV/atom. Its size of the total moment is 1.79 μB/cell.

It has space group P4/mmm (No. 123), with a = 4.055 Å, b = 4.055 Å, c = 3.833 Å, α = 90.00°, β = 90.00° and γ = 90.00°. The asymmetric unit holds Mn at (0.000, 0.000, 0.000), B at (0.000, 0.000, 0.500), P at (0.500, 0.500, 0.000) and Ru at (0.000, 0.500, 0.500).

=====

An optimized crystal structure of BiSCl3. Source: Alexandria, functional PBE-GGA.

The formation energy (no corrections) is -0.6394 eV/atom. Its size of the total moment is 4.00 μB/cell.

It has space group C2/m (No. 12), with a = 12.982 Å, b = 7.495 Å, c = 8.329 Å, α = 90.00°, β = 121.22° and γ = 90.00°. The asymmetric unit holds Bi at (0.171, 0.000, 0.014), S at (0.045, 0.500, 0.134), Cl at (0.083, 0.000, 0.243) and Cl at (0.170, 0.253, 0.757).

=====

An optimized crystal structure of RbTlCd. Source: Alexandria, functional PBE-GGA.

As for the energy of formation: -0.029 eV/atom. Its size of the total moment is 0.00 μB/cell.

It has space group I4mm (No. 107), with a = 4.117 Å, b = 4.117 Å, c = 13.159 Å, α = 90.00°, β = 90.00° and γ = 90.00°. The asymmetric unit holds Rb at (0.000, 0.000, 0.000), Tl at (0.000, 0.000, 0.705) and Cd at (0.000, 0.000, 0.299).

=====

An optimized crystal structure of CuBi2Se4. Source: Alexandria, functional PBE-GGA.

The formation energy (no corrections) is -0.2159 eV/atom. Its size of the total moment is 0.00 μB/cell.

It has space group P2_1/m (No. 11), with a = 7.299 Å, b = 5.901 Å, c = 8.828 Å, α = 90.00°, β = 104.19° and γ = 90.00°. The asymmetric unit holds Cu at (0.189, 0.250, 0.341), Bi at (0.266, 0.750, 0.039), Bi at (0.306, 0.750, 0.592), Se at (0.043, 0.015, 0.783), Se at (0.412, 0.250, 0.582) and Se at (0.432, 0.250, 0.120).